Record 1
# YSc2InHg4 PBE relaxed
data_YSc2InHg4
_chemical_formula_sum 'Y3 Sc6 In3 Hg12'
_cell_length_a 5.0295
_cell_length_b 5.0295
_cell_length_c 25.5693
_cell_angle_alpha 90.00
_cell_angle_beta 90.00
_cell_angle_gamma 120.00
_space_group_name_H-M_alt 'R -3 m'
_space_group_IT_number 166
_space_group_name_Hall '-R 3 2"'
loop_
_atom_site_label
_atom_site_type_symbol
_atom_site_fract_x
_atom_site_fract_y
_atom_site_fract_z
_atom_site_occupancy
Y1 Y 0.0000 0.0000 0.0000 1
Sc1 Sc 0.0000 0.0000 0.2439 1
In1 In 0.0000 0.0000 0.5000 1
Hg1 Hg 0.0000 0.0000 0.1217 1
Hg2 Hg 0.0000 0.0000 0.3721 1
# Energy relative to the elements (eV/atom): -0.34

---

Record 2
# InHg3Se4 PBE relaxed
data_InHg3Se4
_chemical_formula_sum 'In2 Hg6 Se8'
_cell_length_a 9.0937
_cell_length_b 7.8097
_cell_length_c 7.1519
_cell_angle_alpha 90.00
_cell_angle_beta 90.00
_cell_angle_gamma 90.00
_space_group_name_H-M_alt 'P m n 21'
_space_group_IT_number 31
loop_
_space_group_symop_operation_xyz
'x,y,z'
'-x+1/2,-y,z+1/2'
'-x,y,z'
'x+1/2,-y,z+1/2'
loop_
_atom_site_label
_atom_site_type_symbol
_atom_site_fract_x
_atom_site_fract_y
_atom_site_fract_z
_atom_site_occupancy
In1 In 0.0000 0.1707 0.0000 1
Hg1 Hg 0.0000 0.8368 0.5089 1
Hg2 Hg 0.2467 0.6686 0.0029 1
Se1 Se 0.0000 0.1742 0.6238 1
Se2 Se 0.0000 0.8440 0.1136 1
Se3 Se 0.2454 0.3306 0.1119 1
# Energy above the most stable polymorph in this dataset (eV per atom): 0.0107
# E_form (uncorrected) (eV/atom): -0.245

---

Record 3
# InHg3Se4 PBE relaxed
data_InHg3Se4
_chemical_formula_sum 'In1 Hg3 Se4'
_cell_length_a 6.3249
_cell_length_b 6.3249
_cell_length_c 6.3249
_cell_angle_alpha 90.00
_cell_angle_beta 90.00
_cell_angle_gamma 90.00
_space_group_name_H-M_alt 'P -4 3 m'
_space_group_IT_number 215
_space_group_name_Hall 'P -4 2 3'
loop_
_atom_site_label
_atom_site_type_symbol
_atom_site_fract_x
_atom_site_fract_y
_atom_site_fract_z
_atom_site_occupancy
In1 In 0.0000 0.0000 0.0000 1
Hg1 Hg 0.0000 0.5000 0.5000 1
Se1 Se 0.2467 0.2467 0.2467 1
# Energy above the most stable polymorph in this dataset (eV per atom): 0.0000
# E_form (uncorrected) (eV/atom): -0.255

---

Record 4
# InHg2Se PBE relaxed
data_InHg2Se
_chemical_formula_sum 'In1 Hg2 Se1'
_cell_length_a 3.0084
_cell_length_b 5.6760
_cell_length_c 6.0870
_cell_angle_alpha 90.00
_cell_angle_beta 90.00
_cell_angle_gamma 90.00
_space_group_name_H-M_alt 'P m m m'
_space_group_IT_number 47
loop_
_space_group_symop_operation_xyz
'x,y,z'
'-x,-y,-z'
'-x,-y,z'
'x,y,-z'
'x,-y,-z'
'-x,y,z'
'-x,y,-z'
'x,-y,z'
loop_
_atom_site_label
_atom_site_type_symbol
_atom_site_fract_x
_atom_site_fract_y
_atom_site_fract_z
_atom_site_occupancy
In1 In 0.0000 0.0000 0.0000 1
Hg1 Hg 0.5000 0.5000 0.2546 1
Se1 Se 0.0000 0.0000 0.5000 1
# E_form (uncorrected) (eV/atom): 0.041

---

Record 5
# In3HgSe3 PBE relaxed
data_In3HgSe3
_chemical_formula_sum 'In6 Hg2 Se6'
_cell_length_a 14.4299
_cell_length_b 14.4299
_cell_length_c 4.1342
_cell_angle_alpha 90.00
_cell_angle_beta 90.00
_cell_angle_gamma 120.00
_space_group_name_H-M_alt 'P 63/m'
_space_group_IT_number 176
_space_group_name_Hall '-P 6c'
loop_
_atom_site_label
_atom_site_type_symbol
_atom_site_fract_x
_atom_site_fract_y
_atom_site_fract_z
_atom_site_occupancy
In1 In 0.1111 0.5898 0.2500 1
Hg1 Hg 0.3333 0.6667 0.2500 1
Se1 Se 0.0158 0.6282 0.7500 1
# E_form (uncorrected) (eV/atom): -0.291

---

Record 6
# In6HgSe4 PBE relaxed
data_In6HgSe4
_chemical_formula_sum 'In6 Hg1 Se4'
_cell_length_a 5.9103
_cell_length_b 5.9114
_cell_length_c 9.5553
_cell_angle_alpha 107.92
_cell_angle_beta 107.58
_cell_angle_gamma 90.77
_space_group_name_H-M_alt 'P 1'
_space_group_IT_number 1
loop_
_space_group_symop_operation_xyz
'x,y,z'
loop_
_atom_site_label
_atom_site_type_symbol
_atom_site_fract_x
_atom_site_fract_y
_atom_site_fract_z
_atom_site_occupancy
In1 In 0.0000 0.0000 0.0000 1
In2 In 0.0113 0.2661 0.6638 1
In3 In 0.1604 0.6709 0.3263 1
In4 In 0.3991 0.6519 0.6638 1
In5 In 0.4976 0.4600 0.9577 1
In6 In 0.6552 0.1656 0.3261 1
Hg1 Hg 0.8845 0.7662 0.6492 1
Se1 Se 0.1710 0.1598 0.3310 1
Se2 Se 0.4934 0.9954 0.9873 1
Se3 Se 0.6474 0.6454 0.2930 1
Se4 Se 0.9920 0.4940 0.9874 1
# E_form (uncorrected) (eV/atom): -0.279

---

Record 7
# InHg2Se2 PBE relaxed
data_InHg2Se2
_chemical_formula_sum 'In2 Hg4 Se4'
_cell_length_a 8.2289
_cell_length_b 8.2289
_cell_length_c 4.2442
_cell_angle_alpha 90.00
_cell_angle_beta 90.00
_cell_angle_gamma 90.00
_space_group_name_H-M_alt 'P 4/m b m'
_space_group_IT_number 127
_space_group_name_Hall '-P 4 2ab'
loop_
_atom_site_label
_atom_site_type_symbol
_atom_site_fract_x
_atom_site_fract_y
_atom_site_fract_z
_atom_site_occupancy
In1 In 0.0000 0.0000 0.0000 1
Hg1 Hg 0.1154 0.3846 0.5000 1
Se1 Se 0.2335 0.7335 0.0000 1
# Energy above the most stable polymorph in this dataset (eV per atom): 0.0000
# E_form (uncorrected) (eV/atom): -0.057

---

Record 8
# InHg2Se PBE relaxed
data_InHg2Se
_chemical_formula_sum 'In2 Hg4 Se2'
_cell_length_a 4.1747
_cell_length_b 7.2940
_cell_length_c 7.7065
_cell_angle_alpha 80.14
_cell_angle_beta 74.46
_cell_angle_gamma 89.77
_space_group_name_H-M_alt 'P -1'
_space_group_IT_number 2
loop_
_space_group_symop_operation_xyz
'x,y,z'
'-x,-y,-z'
loop_
_atom_site_label
_atom_site_type_symbol
_atom_site_fract_x
_atom_site_fract_y
_atom_site_fract_z
_atom_site_occupancy
In1 In 0.1431 0.3772 0.2195 1
Hg1 Hg 0.0000 0.0000 0.5000 1
Hg2 Hg 0.3743 0.1212 0.7556 1
Hg3 Hg 0.5000 0.5000 0.5000 1
Se1 Se 0.2506 0.7337 0.9941 1
# E_form (uncorrected) (eV/atom): -0.172

---

Repeat the fourth record exactly.
# InHg2Se PBE relaxed
data_InHg2Se
_chemical_formula_sum 'In1 Hg2 Se1'
_cell_length_a 3.0084
_cell_length_b 5.6760
_cell_length_c 6.0870
_cell_angle_alpha 90.00
_cell_angle_beta 90.00
_cell_angle_gamma 90.00
_space_group_name_H-M_alt 'P m m m'
_space_group_IT_number 47
loop_
_space_group_symop_operation_xyz
'x,y,z'
'-x,-y,-z'
'-x,-y,z'
'x,y,-z'
'x,-y,-z'
'-x,y,z'
'-x,y,-z'
'x,-y,z'
loop_
_atom_site_label
_atom_site_type_symbol
_atom_site_fract_x
_atom_site_fract_y
_atom_site_fract_z
_atom_site_occupancy
In1 In 0.0000 0.0000 0.0000 1
Hg1 Hg 0.5000 0.5000 0.2546 1
Se1 Se 0.0000 0.0000 0.5000 1
# E_form (uncorrected) (eV/atom): 0.041

---

Copy entry 7 word for word.
# InHg2Se2 PBE relaxed
data_InHg2Se2
_chemical_formula_sum 'In2 Hg4 Se4'
_cell_length_a 8.2289
_cell_length_b 8.2289
_cell_length_c 4.2442
_cell_angle_alpha 90.00
_cell_angle_beta 90.00
_cell_angle_gamma 90.00
_space_group_name_H-M_alt 'P 4/m b m'
_space_group_IT_number 127
_space_group_name_Hall '-P 4 2ab'
loop_
_atom_site_label
_atom_site_type_symbol
_atom_site_fract_x
_atom_site_fract_y
_atom_site_fract_z
_atom_site_occupancy
In1 In 0.0000 0.0000 0.0000 1
Hg1 Hg 0.1154 0.3846 0.5000 1
Se1 Se 0.2335 0.7335 0.0000 1
# Energy above the most stable polymorph in this dataset (eV per atom): 0.0000
# E_form (uncorrected) (eV/atom): -0.057